## one
Density functional theory data (PBE-GGA) for crystalline Sm3Dy7Y at its relaxed geometry. Values from VASP.

Results
N(E_F) ... 15.601 states/eV/cell
Crystal system ... orthorhombic
Symmetry ... Immm, No. 71

Quantum ESPRESSO input file:
```
&SYSTEM
  ibrav = 0, nat = 11, ntyp = 3
/
ATOMIC_SPECIES
Sm 150.36 Sm.upf
Dy 162.50 Dy.upf
Y 88.91 Y.upf
CELL_PARAMETERS angstrom
-2.917 5.589 5.605
2.917 -5.589 5.605
2.917 5.589 -5.605
ATOMIC_POSITIONS crystal
Sm 0.000 0.000 0.000
Sm 0.211 0.711 0.500
Sm 0.789 0.289 0.500
Dy 0.010 0.804 0.206
Dy 0.205 0.500 0.705
Dy 0.403 0.196 0.206
Dy 0.500 0.000 0.500
Dy 0.597 0.804 0.794
Dy 0.795 0.500 0.295
Dy 0.990 0.196 0.794
Y 0.500 0.500 0.000
```

## two
Density functional theory data (PBE-GGA) for crystalline Sm3Dy7Y at its relaxed geometry. Values from VASP.

Results
N(E_F) ... 17.187 states/eV/cell
Crystal system ... monoclinic
Symmetry ... P2/m, No. 10

Quantum ESPRESSO input file:
```
&SYSTEM
  ibrav = 0, nat = 11, ntyp = 3
/
ATOMIC_SPECIES
Sm 150.36 Sm.upf
Dy 162.50 Dy.upf
Y 88.91 Y.upf
CELL_PARAMETERS angstrom
6.982 0.000 0.000
0.000 5.538 0.000
-3.473 0.000 9.365
ATOMIC_POSITIONS crystal
Sm 0.000 0.000 0.000
Sm 0.282 0.500 0.499
Sm 0.718 0.500 0.501
Dy 0.000 0.000 0.500
Dy 0.145 0.500 0.790
Dy 0.321 0.500 0.139
Dy 0.416 0.000 0.330
Dy 0.584 0.000 0.670
Dy 0.679 0.500 0.861
Dy 0.855 0.500 0.210
Y 0.500 0.000 0.000
```

Least stable structure: one

## one
Density functional theory data (PBE-GGA) for crystalline SmDy12Y6 at its relaxed geometry. Values from VASP.

Results
N(E_F) ... 26.218 states/eV/cell
Crystal system ... trigonal
Symmetry ... R-3m, No. 166

Quantum ESPRESSO input file:
```
&SYSTEM
  ibrav = 0, nat = 19, ntyp = 3
/
ATOMIC_SPECIES
Sm 150.36 Sm.upf
Dy 162.50 Dy.upf
Y 88.91 Y.upf
CELL_PARAMETERS angstrom
7.627 4.404 3.259
-7.627 4.404 3.259
0.000 -8.807 3.259
ATOMIC_POSITIONS crystal
Sm 0.000 0.000 0.000
Dy 0.108 0.500 0.892
Dy 0.108 0.892 0.500
Dy 0.158 0.367 0.367
Dy 0.367 0.158 0.367
Dy 0.367 0.367 0.158
Dy 0.500 0.108 0.892
Dy 0.500 0.892 0.108
Dy 0.633 0.633 0.842
Dy 0.633 0.842 0.633
Dy 0.842 0.633 0.633
Dy 0.892 0.108 0.500
Dy 0.892 0.500 0.108
Y 0.247 0.676 0.676
Y 0.324 0.324 0.753
Y 0.324 0.753 0.324
Y 0.676 0.247 0.676
Y 0.676 0.676 0.247
Y 0.753 0.324 0.324
```

## two
Density functional theory data (PBE-GGA) for crystalline SmDy12Y6 at its relaxed geometry. Values from VASP.

Results
N(E_F) ... 23.173 states/eV/cell
Crystal system ... trigonal
Symmetry ... R-3m, No. 166

Quantum ESPRESSO input file:
```
&SYSTEM
  ibrav = 0, nat = 19, ntyp = 3
/
ATOMIC_SPECIES
Sm 150.36 Sm.upf
Dy 162.50 Dy.upf
Y 88.91 Y.upf
CELL_PARAMETERS angstrom
6.688 3.862 4.259
-6.688 3.862 4.259
0.000 -7.723 4.259
ATOMIC_POSITIONS crystal
Sm 0.000 0.000 0.000
Dy 0.118 0.500 0.882
Dy 0.118 0.882 0.500
Dy 0.184 0.470 0.470
Dy 0.470 0.184 0.470
Dy 0.470 0.470 0.184
Dy 0.500 0.118 0.882
Dy 0.500 0.882 0.118
Dy 0.530 0.530 0.816
Dy 0.530 0.816 0.530
Dy 0.816 0.530 0.530
Dy 0.882 0.118 0.500
Dy 0.882 0.500 0.118
Y 0.204 0.204 0.743
Y 0.204 0.743 0.204
Y 0.257 0.796 0.796
Y 0.743 0.204 0.204
Y 0.796 0.257 0.796
Y 0.796 0.796 0.257
```

Least stable structure: two

## one
Density functional theory data (PBE-GGA) for crystalline Sm7DyY2 at its relaxed geometry. Values from VASP.

Results
N(E_F) ... 14.463 states/eV/cell
Crystal system ... orthorhombic
Symmetry ... Cmmm, No. 65

Quantum ESPRESSO input file:
```
&SYSTEM
  ibrav = 0, nat = 10, ntyp = 3
/
ATOMIC_SPECIES
Sm 150.36 Sm.upf
Dy 162.50 Dy.upf
Y 88.91 Y.upf
CELL_PARAMETERS angstrom
4.340 -8.738 0.000
4.340 8.738 0.000
0.000 0.000 5.333
ATOMIC_POSITIONS crystal
Sm 0.000 0.000 0.000
Sm 0.212 0.428 0.000
Sm 0.303 0.697 0.500
Sm 0.428 0.212 0.000
Sm 0.572 0.788 0.000
Sm 0.697 0.303 0.500
Sm 0.788 0.572 0.000
Dy 0.500 0.500 0.500
Y 0.205 0.795 0.000
Y 0.795 0.205 0.000
```

## two
Density functional theory data (PBE-GGA) for crystalline Sm7DyY2 at its relaxed geometry. Values from VASP.

Results
N(E_F) ... 14.953 states/eV/cell
Crystal system ... triclinic
Symmetry ... P-1, No. 2

Quantum ESPRESSO input file:
```
&SYSTEM
  ibrav = 0, nat = 10, ntyp = 3
/
ATOMIC_SPECIES
Sm 150.36 Sm.upf
Dy 162.50 Dy.upf
Y 88.91 Y.upf
CELL_PARAMETERS angstrom
6.246 0.000 0.000
-1.043 6.161 0.000
-3.119 -2.643 8.631
ATOMIC_POSITIONS crystal
Sm 0.000 0.000 0.000
Sm 0.199 0.099 0.699
Sm 0.199 0.600 0.200
Sm 0.401 0.201 0.400
Sm 0.599 0.799 0.600
Sm 0.801 0.400 0.800
Sm 0.801 0.901 0.301
Dy 0.000 0.500 0.500
Y 0.400 0.700 0.900
Y 0.600 0.300 0.100
```

Least stable structure: one

## one
Density functional theory data (PBE-GGA) for crystalline Sm2Dy7Y3 at its relaxed geometry. Values from VASP.

Results
N(E_F) ... 17.634 states/eV/cell
Crystal system ... monoclinic
Symmetry ... P2/m, No. 10

Quantum ESPRESSO input file:
```
&SYSTEM
  ibrav = 0, nat = 12, ntyp = 3
/
ATOMIC_SPECIES
Sm 150.36 Sm.upf
Dy 162.50 Dy.upf
Y 88.91 Y.upf
CELL_PARAMETERS angstrom
6.342 0.000 0.000
0.000 3.525 0.000
-1.856 0.000 17.348
ATOMIC_POSITIONS crystal
Sm 0.059 0.000 0.173
Sm 0.941 0.000 0.827
Dy 0.000 0.500 0.500
Dy 0.226 0.000 0.667
Dy 0.256 0.000 0.999
Dy 0.273 0.500 0.335
Dy 0.727 0.500 0.665
Dy 0.744 0.000 0.001
Dy 0.774 0.000 0.333
Y 0.452 0.500 0.842
Y 0.500 0.000 0.500
Y 0.548 0.500 0.158
```

## two
Density functional theory data (PBE-GGA) for crystalline Sm2Dy7Y3 at its relaxed geometry. Values from VASP.

Results
N(E_F) ... 15.146 states/eV/cell
Crystal system ... monoclinic
Symmetry ... P2/m, No. 10

Quantum ESPRESSO input file:
```
&SYSTEM
  ibrav = 0, nat = 12, ntyp = 3
/
ATOMIC_SPECIES
Sm 150.36 Sm.upf
Dy 162.50 Dy.upf
Y 88.91 Y.upf
CELL_PARAMETERS angstrom
5.791 0.000 0.000
0.000 3.596 0.000
-1.166 0.000 18.654
ATOMIC_POSITIONS crystal
Sm 0.207 0.000 0.294
Sm 0.793 0.000 0.706
Dy 0.184 0.500 0.143
Dy 0.242 0.000 0.463
Dy 0.315 0.000 0.824
Dy 0.500 0.500 0.000
Dy 0.685 0.000 0.176
Dy 0.758 0.000 0.537
Dy 0.816 0.500 0.857
Y 0.000 0.000 0.000
Y 0.279 0.500 0.631
Y 0.721 0.500 0.369
```

Least stable structure: two

## one
Density functional theory data (PBE-GGA) for crystalline SmDy2Y6 at its relaxed geometry. Values from VASP.

Results
N(E_F) ... 30.779 states/eV/cell
Crystal system ... monoclinic
Symmetry ... C2/c, No. 15

Quantum ESPRESSO input file:
```
&SYSTEM
  ibrav = 0, nat = 18, ntyp = 3
/
ATOMIC_SPECIES
Sm 150.36 Sm.upf
Dy 162.50 Dy.upf
Y 88.91 Y.upf
CELL_PARAMETERS angstrom
10.849 -4.824 0.000
10.849 4.824 0.000
-1.516 0.000 5.541
ATOMIC_POSITIONS crystal
Sm 0.250 0.750 0.750
Sm 0.750 0.250 0.250
Dy 0.168 0.332 0.035
Dy 0.332 0.168 0.535
Dy 0.668 0.832 0.465
Dy 0.832 0.668 0.965
Y 0.002 0.166 0.802
Y 0.083 0.583 0.583
Y 0.166 0.002 0.302
Y 0.334 0.498 0.134
Y 0.417 0.917 0.917
Y 0.498 0.334 0.634
Y 0.502 0.666 0.366
Y 0.583 0.083 0.083
Y 0.666 0.502 0.866
Y 0.834 0.998 0.698
Y 0.917 0.417 0.417
Y 0.998 0.834 0.198
```

## two
Density functional theory data (PBE-GGA) for crystalline SmDy2Y6 at its relaxed geometry. Values from VASP.

Results
N(E_F) ... 14.620 states/eV/cell
Crystal system ... trigonal
Symmetry ... R3m, No. 160

Quantum ESPRESSO input file:
```
&SYSTEM
  ibrav = 0, nat = 9, ntyp = 3
/
ATOMIC_SPECIES
Sm 150.36 Sm.upf
Dy 162.50 Dy.upf
Y 88.91 Y.upf
CELL_PARAMETERS angstrom
3.697 2.134 6.383
-3.697 2.134 6.383
0.000 -4.269 6.383
ATOMIC_POSITIONS crystal
Sm 0.000 0.000 0.000
Dy 0.265 0.265 0.265
Dy 0.441 0.441 0.441
Y 0.300 0.733 0.733
Y 0.465 0.948 0.948
Y 0.733 0.300 0.733
Y 0.733 0.733 0.300
Y 0.948 0.465 0.948
Y 0.948 0.948 0.465
```

Least stable structure: two

## one
Density functional theory data (PBE-GGA) for crystalline Sm7Dy3Y2 at its relaxed geometry. Values from VASP.

Results
N(E_F) ... 18.012 states/eV/cell
Crystal system ... monoclinic
Symmetry ... P2/m, No. 10

Quantum ESPRESSO input file:
```
&SYSTEM
  ibrav = 0, nat = 12, ntyp = 3
/
ATOMIC_SPECIES
Sm 150.36 Sm.upf
Dy 162.50 Dy.upf
Y 88.91 Y.upf
CELL_PARAMETERS angstrom
6.419 0.000 0.000
0.000 3.554 0.000
-1.840 0.000 17.456
ATOMIC_POSITIONS crystal
Sm 0.000 0.000 0.000
Sm 0.225 0.500 0.170
Sm 0.257 0.500 0.497
Sm 0.275 0.000 0.834
Sm 0.725 0.000 0.166
Sm 0.743 0.500 0.503
Sm 0.775 0.500 0.830
Dy 0.451 0.000 0.341
Dy 0.500 0.500 0.000
Dy 0.549 0.000 0.659
Y 0.059 0.500 0.671
Y 0.941 0.500 0.329
```

## two
Density functional theory data (PBE-GGA) for crystalline Sm7Dy3Y2 at its relaxed geometry. Values from VASP.

Results
N(E_F) ... 19.071 states/eV/cell
Crystal system ... orthorhombic
Symmetry ... Cmmm, No. 65

Quantum ESPRESSO input file:
```
&SYSTEM
  ibrav = 0, nat = 12, ntyp = 3
/
ATOMIC_SPECIES
Sm 150.36 Sm.upf
Dy 162.50 Dy.upf
Y 88.91 Y.upf
CELL_PARAMETERS angstrom
2.886 -19.102 0.000
2.886 19.102 0.000
0.000 0.000 3.621
ATOMIC_POSITIONS crystal
Sm 0.000 0.000 0.000
Sm 0.072 0.928 0.500
Sm 0.232 0.768 0.000
Sm 0.408 0.592 0.000
Sm 0.592 0.408 0.000
Sm 0.768 0.232 0.000
Sm 0.928 0.072 0.500
Dy 0.315 0.685 0.500
Dy 0.500 0.500 0.500
Dy 0.685 0.315 0.500
Y 0.148 0.852 0.000
Y 0.852 0.148 0.000
```

Least stable structure: two

## one
Density functional theory data (PBE-GGA) for crystalline Sm12Dy5Y2 at its relaxed geometry. Values from VASP.

Results
N(E_F) ... 26.515 states/eV/cell
Crystal system ... monoclinic
Symmetry ... C2/m, No. 12

Quantum ESPRESSO input file:
```
&SYSTEM
  ibrav = 0, nat = 19, ntyp = 3
/
ATOMIC_SPECIES
Sm 150.36 Sm.upf
Dy 162.50 Dy.upf
Y 88.91 Y.upf
CELL_PARAMETERS angstrom
7.924 -5.095 0.000
7.924 5.095 0.000
-0.160 0.000 7.943
ATOMIC_POSITIONS crystal
Sm 0.051 0.051 0.208
Sm 0.075 0.540 0.705
Sm 0.121 0.668 0.111
Sm 0.332 0.879 0.889
Sm 0.345 0.345 0.379
Sm 0.460 0.925 0.295
Sm 0.540 0.075 0.705
Sm 0.655 0.655 0.621
Sm 0.668 0.121 0.111
Sm 0.879 0.332 0.889
Sm 0.925 0.460 0.295
Sm 0.949 0.949 0.792
Dy 0.148 0.148 0.584
Dy 0.254 0.254 0.010
Dy 0.500 0.500 0.000
Dy 0.746 0.746 0.990
Dy 0.852 0.852 0.416
Y 0.265 0.735 0.500
Y 0.735 0.265 0.500
```

## two
Density functional theory data (PBE-GGA) for crystalline Sm12Dy5Y2 at its relaxed geometry. Values from VASP.

Results
N(E_F) ... 28.417 states/eV/cell
Crystal system ... monoclinic
Symmetry ... C2/m, No. 12

Quantum ESPRESSO input file:
```
&SYSTEM
  ibrav = 0, nat = 19, ntyp = 3
/
ATOMIC_SPECIES
Sm 150.36 Sm.upf
Dy 162.50 Dy.upf
Y 88.91 Y.upf
CELL_PARAMETERS angstrom
7.944 -4.633 0.000
7.944 4.633 0.000
-0.250 0.000 8.687
ATOMIC_POSITIONS crystal
Sm 0.061 0.061 0.341
Sm 0.067 0.677 0.327
Sm 0.167 0.529 0.761
Sm 0.323 0.933 0.673
Sm 0.416 0.416 0.118
Sm 0.471 0.833 0.239
Sm 0.529 0.167 0.761
Sm 0.584 0.584 0.882
Sm 0.677 0.067 0.327
Sm 0.833 0.471 0.239
Sm 0.933 0.323 0.673
Sm 0.939 0.939 0.659
Dy 0.202 0.202 0.023
Dy 0.269 0.269 0.431
Dy 0.500 0.500 0.500
Dy 0.731 0.731 0.569
Dy 0.798 0.798 0.977
Y 0.173 0.827 0.000
Y 0.827 0.173 0.000
```

Least stable structure: one

## one
Density functional theory data (PBE-GGA) for crystalline Sm3DyY7 at its relaxed geometry. Values from VASP.

Results
N(E_F) ... 18.437 states/eV/cell
Crystal system ... monoclinic
Symmetry ... P2/m, No. 10

Quantum ESPRESSO input file:
```
&SYSTEM
  ibrav = 0, nat = 11, ntyp = 3
/
ATOMIC_SPECIES
Sm 150.36 Sm.upf
Dy 162.50 Dy.upf
Y 88.91 Y.upf
CELL_PARAMETERS angstrom
6.935 0.000 0.000
0.000 5.555 0.000
-3.289 0.000 9.520
ATOMIC_POSITIONS crystal
Sm 0.000 0.000 0.000
Sm 0.280 0.500 0.495
Sm 0.720 0.500 0.505
Dy 0.500 0.000 0.000
Y 0.000 0.000 0.500
Y 0.150 0.500 0.788
Y 0.317 0.500 0.135
Y 0.425 0.000 0.329
Y 0.575 0.000 0.671
Y 0.683 0.500 0.865
Y 0.850 0.500 0.212
```

## two
Density functional theory data (PBE-GGA) for crystalline Sm3DyY7 at its relaxed geometry. Values from VASP.

Results
N(E_F) ... 17.820 states/eV/cell
Crystal system ... trigonal
Symmetry ... P3m1, No. 156

Quantum ESPRESSO input file:
```
&SYSTEM
  ibrav = 0, nat = 11, ntyp = 3
/
ATOMIC_SPECIES
Sm 150.36 Sm.upf
Dy 162.50 Dy.upf
Y 88.91 Y.upf
CELL_PARAMETERS angstrom
7.111 0.000 0.000
-3.556 6.159 0.000
0.000 0.000 8.665
ATOMIC_POSITIONS crystal
Sm 0.001 0.500 0.000
Sm 0.500 0.500 0.000
Sm 0.500 0.999 0.000
Dy 0.333 0.667 0.336
Y 0.168 0.335 0.664
Y 0.168 0.832 0.664
Y 0.335 0.167 0.335
Y 0.665 0.832 0.664
Y 0.667 0.333 0.663
Y 0.833 0.167 0.335
Y 0.833 0.665 0.335
```

Least stable structure: two

## one
Density functional theory data (PBE-GGA) for crystalline SmDy2Y2 at its relaxed geometry. Values from VASP.

Results
N(E_F) ... 20.622 states/eV/cell
Crystal system ... monoclinic
Symmetry ... C2/m, No. 12

Quantum ESPRESSO input file:
```
&SYSTEM
  ibrav = 0, nat = 10, ntyp = 3
/
ATOMIC_SPECIES
Sm 150.36 Sm.upf
Dy 162.50 Dy.upf
Y 88.91 Y.upf
CELL_PARAMETERS angstrom
6.198 -2.919 0.000
6.198 2.919 0.000
-3.299 0.000 8.982
ATOMIC_POSITIONS crystal
Sm 0.049 0.049 0.347
Sm 0.951 0.951 0.653
Dy 0.153 0.153 0.044
Dy 0.262 0.262 0.736
Dy 0.738 0.738 0.264
Dy 0.847 0.847 0.956
Y 0.355 0.355 0.429
Y 0.446 0.446 0.134
Y 0.554 0.554 0.866
Y 0.645 0.645 0.571
```

## two
Density functional theory data (PBE-GGA) for crystalline SmDy2Y2 at its relaxed geometry. Values from VASP.

Results
N(E_F) ... 9.922 states/eV/cell
Crystal system ... tetragonal
Symmetry ... P4/mbm, No. 127

Quantum ESPRESSO input file:
```
&SYSTEM
  ibrav = 0, nat = 10, ntyp = 3
/
ATOMIC_SPECIES
Sm 150.36 Sm.upf
Dy 162.50 Dy.upf
Y 88.91 Y.upf
CELL_PARAMETERS angstrom
9.362 0.000 0.000
0.000 9.362 0.000
0.000 0.000 3.752
ATOMIC_POSITIONS crystal
Sm 0.000 0.000 0.000
Sm 0.500 0.500 0.000
Dy 0.126 0.374 0.000
Dy 0.374 0.874 0.000
Dy 0.626 0.126 0.000
Dy 0.874 0.626 0.000
Y 0.172 0.672 0.500
Y 0.328 0.172 0.500
Y 0.672 0.828 0.500
Y 0.828 0.328 0.500
```

Least stable structure: one